Entry from the Alexandria database: a relaxed structure of Li2B2IrO6 (GGA-PBE).

a b c (Å): 4.846 4.846 5.916
angles (deg): 90.00 90.00 120.00
Last column: magnetic moment on the atom in μB.
Positions (direct):
Ir 0.000 0.000 0.000  0.68
O 0.061 0.691 0.802  0.05
B 0.333 0.667 0.808  0.00
Li 0.333 0.667 0.290  0.00
Li 0.667 0.333 0.710  0.00
O 0.309 0.369 0.802  0.05
O 0.369 0.061 0.198  0.05
O 0.691 0.631 0.198  0.05
B 0.667 0.333 0.192  0.00
O 0.939 0.309 0.198  0.05
O 0.631 0.939 0.802  0.05

Output
magnetic moment	1.07	μB per cell
density	4.47	Mg/m³
E_form (uncorrected)	-1.812	eV per atom